1.
## La2Pr4DyHo (PBE)

Data for crystalline La2Pr4DyHo at its relaxed geometry.

```
La2Pr4DyHo
1.0
5.178 0.000 0.000
0.000 5.210 0.000
-0.021 0.000 10.441
La Pr Dy Ho
2 4 1 1
Direct
0.000 0.000 0.000
0.500 0.500 0.500
0.000 0.500 0.249
0.000 0.500 0.751
0.499 0.000 0.750
0.501 0.000 0.250
0.000 0.000 0.500
0.500 0.500 0.000
```

Computed properties:
ΔE_f = 0.021 eV/atom

2.
## LaPr4Dy2Ho2 (PBE)

Data for crystalline LaPr4Dy2Ho2 at its relaxed geometry.

```
LaPr4Dy2Ho2
1.0
7.717 -2.571 0.000
7.717 2.571 0.000
-2.528 0.000 7.725
La Pr Dy Ho
1 4 2 2
Direct
0.000 0.000 0.000
0.223 0.223 0.331
0.446 0.446 0.667
0.554 0.554 0.333
0.777 0.777 0.669
0.112 0.112 0.667
0.888 0.888 0.333
0.331 0.331 0.002
0.669 0.669 0.998
```

Computed properties:
ΔE_f = 0.021 eV/atom

3.
## LaPrDy4Ho2 (PBE)

Data for crystalline LaPrDy4Ho2 at its relaxed geometry.

```
LaPrDy4Ho2
1.0
7.192 0.000 0.000
3.593 6.237 0.000
0.006 0.001 11.579
La Pr Dy Ho
2 2 8 4
Direct
0.000 0.000 0.000
0.000 0.500 0.000
0.000 0.000 0.500
0.500 0.000 0.000
0.167 0.168 0.747
0.167 0.667 0.748
0.333 0.333 0.253
0.333 0.833 0.252
0.667 0.167 0.748
0.667 0.667 0.747
0.833 0.333 0.252
0.833 0.832 0.253
0.000 0.500 0.500
0.500 0.000 0.500
0.500 0.500 0.000
0.500 0.500 0.500
```

Computed properties:
ΔE_f = 0.003 eV/atom

4.
## LaPr4Dy2Ho (PBE)

Data for crystalline LaPr4Dy2Ho at its relaxed geometry.

```
LaPr4Dy2Ho
1.0
6.311 0.000 0.000
0.000 3.673 0.000
-2.133 0.000 11.870
La Pr Dy Ho
1 4 2 1
Direct
0.000 0.000 0.000
0.250 0.000 0.749
0.252 0.500 0.254
0.748 0.500 0.746
0.750 0.000 0.251
0.000 0.500 0.500
0.500 0.000 0.500
0.500 0.500 0.000
```

Computed properties:
ΔE_f = 0.017 eV/atom

5.
## La2Pr2DyHo2 (PBE)

Data for crystalline La2Pr2DyHo2 at its relaxed geometry.

```
La2Pr2DyHo2
1.0
5.740 -2.581 0.000
5.740 2.581 0.000
-1.172 0.000 8.110
La Pr Dy Ho
2 2 1 2
Direct
0.142 0.142 0.425
0.858 0.858 0.575
0.286 0.286 0.859
0.714 0.714 0.141
0.000 0.000 0.000
0.430 0.430 0.285
0.570 0.570 0.715
```

Computed properties:
ΔE_f = 0.025 eV/atom

6.
## La2Pr4DyHo2 (PBE)

Data for crystalline La2Pr4DyHo2 at its relaxed geometry.

```
La2Pr4DyHo2
1.0
7.801 -2.602 0.000
7.801 2.602 0.000
-2.608 0.000 7.719
La Pr Dy Ho
2 4 1 2
Direct
0.111 0.111 0.171
0.889 0.889 0.829
0.220 0.220 0.828
0.445 0.445 0.170
0.555 0.555 0.830
0.780 0.780 0.172
0.000 0.000 0.500
0.333 0.333 0.500
0.667 0.667 0.500
```

Computed properties:
ΔE_f = 0.026 eV/atom

7.
## LaPr3DyHo (PBE)

Data for crystalline LaPr3DyHo at its relaxed geometry.

```
LaPr3DyHo
1.0
8.152 0.000 0.000
0.000 5.206 0.000
-3.317 0.000 9.845
La Pr Dy Ho
2 6 2 2
Direct
0.172 0.250 0.292
0.828 0.750 0.708
0.171 0.250 0.793
0.172 0.750 0.042
0.172 0.750 0.544
0.828 0.250 0.456
0.828 0.250 0.958
0.829 0.750 0.207
0.500 0.250 0.626
0.500 0.750 0.374
0.499 0.750 0.876
0.501 0.250 0.124
```

Computed properties:
ΔE_f = 0.026 eV/atom

8.
## LaPrDyHo (PBE)

Data for crystalline LaPrDyHo at its relaxed geometry.

```
LaPrDyHo
1.0
0.000 4.089 4.089
4.089 0.000 4.089
4.089 4.089 0.000
La Pr Dy Ho
1 1 1 1
Direct
0.000 0.000 0.000
0.500 0.500 0.500
0.750 0.750 0.750
0.250 0.250 0.250
```

Computed properties:
ΔE_f = 0.097 eV/atom
distance to the lowest polymorph of the same formula = 0.0 meV/atom

no.,calculated total energy (eV per formula unit),volume (Å³ per cell)
1,-37.98,281.66
2,-42.21,306.52
3,-37.25,519.42
4,-37.69,275.15
5,-33.00,240.31
6,-42.50,313.36
7,-28.29,417.80
8,-18.50,136.78